# Ni2BiPbO6

A relaxed structure of Ni2BiPbO6 (PBE+U, the Alexandria database).

Structure (extended XYZ):
```
10
Lattice="-3.361 3.448 -2.628 -5.306 0.236 1.370 -1.899 4.661 2.820" Properties=species:S:1:pos:R:3 pbc="T T T"
Ni -5.335 3.991 0.610
Ni -1.951 4.478 2.648
Bi -8.090 5.685 0.630
Pb -2.809 1.505 -0.158
O -3.814 3.376 -0.672
O -5.968 2.132 1.304
O -6.832 4.358 -0.791
O -6.570 4.957 2.089
O -4.628 6.014 0.376
O -3.927 4.052 2.242
```

Computed properties:
- Symmetry: R3 (146)
- Raw total energy: -5.220 eV per atom